Record 1
{
  "formula": "Sc2CdInAu4",
  "functional": "GGA-PBE",
  "state": "optimized geometry",
  "cell": [[2.399, 1.385, 7.816], [-2.399, 1.385, 7.816], [0.000, -2.770, 7.816]],
  "species": ["Sc", "Sc", "Cd", "In", "Au", "Au", "Au", "Au"],
  "fractional_positions": [[0.250, 0.250, 0.250], [0.750, 0.750, 0.750], [0.000, 0.000, 0.000], [0.500, 0.500, 0.500], [0.125, 0.125, 0.125], [0.375, 0.375, 0.375], [0.625, 0.625, 0.625], [0.875, 0.875, 0.875]],
  "total_energy_ev_per_atom": -4.291,
  "e_form_kj_per_mol_atoms": -59.08
}


Record 2
{
  "formula": "ScCdInAu",
  "functional": "GGA-PBE",
  "state": "optimized geometry",
  "cell": [[0.000, 3.458, 3.458], [3.458, 0.000, 3.458], [3.458, 3.458, 0.000]],
  "species": ["Sc", "Cd", "In", "Au"],
  "fractional_positions": [[0.000, 0.000, 0.000], [0.500, 0.500, 0.500], [0.250, 0.250, 0.250], [0.750, 0.750, 0.750]],
  "total_energy_ev_per_atom": -3.693,
  "e_form_kj_per_mol_atoms": -36.38
}


Record 3
{
  "formula": "Sm2CdInAu4",
  "functional": "GGA-PBE",
  "state": "optimized geometry",
  "cell": [[2.506, 1.447, 8.143], [-2.506, 1.447, 8.143], [0.000, -2.894, 8.143]],
  "species": ["Sm", "Sm", "Cd", "In", "Au", "Au", "Au", "Au"],
  "fractional_positions": [[0.250, 0.250, 0.250], [0.750, 0.750, 0.750], [0.000, 0.000, 0.000], [0.500, 0.500, 0.500], [0.124, 0.124, 0.124], [0.375, 0.375, 0.375], [0.625, 0.625, 0.625], [0.876, 0.876, 0.876]],
  "total_energy_ev_per_atom": -3.951,
  "e_form_kj_per_mol_atoms": -65.19
}


Record 4
{
  "formula": "Sm4Cd2InAu",
  "functional": "GGA-PBE",
  "state": "optimized geometry",
  "cell": [[2.672, 1.543, 8.725], [-2.672, 1.543, 8.725], [0.000, -3.086, 8.725]],
  "species": ["Sm", "Sm", "Sm", "Sm", "Cd", "Cd", "In", "Au"],
  "fractional_positions": [[0.120, 0.120, 0.120], [0.371, 0.371, 0.371], [0.629, 0.629, 0.629], [0.880, 0.880, 0.880], [0.245, 0.245, 0.245], [0.755, 0.755, 0.755], [0.500, 0.500, 0.500], [0.000, 0.000, 0.000]],
  "total_energy_ev_per_atom": -3.809,
  "e_form_kj_per_mol_atoms": -45.23
}